Density functional theory data (PBE+U) for a relaxed Y2CrF crystal.

Lattice parameters (Å, degrees): 5.113 5.113 5.113 60.00 60.00 60.00
Element x y z (fractional)
Y1 0.250 0.250 0.250
Y2 0.750 0.750 0.750
Cr1 0.000 0.000 0.000
F1 0.500 0.500 0.500

Total magnetization   1.279 μB per atom
Distance to the lowest polymorph of the same formula   0.485 eV per atom